Entry 1:
Entry from the Alexandria database: a geometry-optimized Sr2HgBr structure (GGA-PBEsol).

The structure in extended XYZ format:
```
4
Lattice="2.165 1.250 8.290 -2.165 1.250 8.290 0.000 -2.500 8.290" Properties=species:S:1:pos:R:3 pbc="T T T"
Sr 0.000 0.000 6.139
Sr 0.000 0.000 18.731
Hg 0.000 0.000 12.435
Br 0.000 0.000 0.000
```

## Properties
E above lowest polymorph: 0.00 eV/f.u.
ΔE_f (raw): -1.02 eV/atom



Entry 2:
Entry from the Alexandria database: a geometry-optimized AgHg5 structure (GGA-PBEsol).

The structure in extended XYZ format:
```
6
Lattice="5.278 0.000 0.000 0.000 1.573 7.723 0.000 -1.573 7.723" Properties=species:S:1:pos:R:3 pbc="T T T"
Ag 0.000 0.000 0.000
Hg 0.000 0.000 5.242
Hg 0.000 0.000 10.221
Hg 2.639 0.000 3.522
Hg 2.639 0.000 8.631
Hg 2.639 0.000 13.841
```

## Properties
E above lowest polymorph: 0.10 eV/f.u.



Entry 3:
Entry from the Alexandria database: a geometry-optimized LaScTl2 structure (GGA-PBEsol).

The structure in extended XYZ format:
```
4
Lattice="3.361 0.000 0.000 0.000 4.232 0.000 0.000 0.000 7.216" Properties=species:S:1:pos:R:3 pbc="T T T"
La 0.000 0.000 0.000
Sc 0.000 0.000 3.608
Tl 1.680 2.116 2.048
Tl 1.680 2.116 5.168
```

## Properties
Total DFT energy (no corrections): -18.9 eV/cell



Entry 4:
Entry from the Alexandria database: a geometry-optimized ZnCuAg structure (GGA-PBEsol).

The structure in extended XYZ format:
```
3
Lattice="-1.410 1.664 4.423 1.410 -1.664 4.423 1.410 1.664 -4.423" Properties=species:S:1:pos:R:3 pbc="T T T"
Zn 0.000 0.000 0.000
Cu 0.000 0.000 3.169
Ag 0.000 0.000 6.018
```

## Properties
E above lowest polymorph: 0.00 eV/f.u.



Entry 5:
Entry from the Alexandria database: a geometry-optimized TiNiP2O structure (GGA-PBEsol).

The structure in extended XYZ format:
```
5
Lattice="4.446 0.000 0.000 0.000 4.446 0.000 0.000 0.000 3.470" Properties=species:S:1:pos:R:3 pbc="T T T"
Ti 0.000 0.000 0.000
Ni 2.223 2.223 1.735
P 0.000 2.223 1.735
P 2.223 0.000 1.735
O 2.223 2.223 0.000
```

## Properties
ΔE_f (raw): -0.10 eV/atom



Entry 6:
Entry from the Alexandria database: a geometry-optimized LiAg2 structure (GGA-PBEsol).

The structure in extended XYZ format:
```
3
Lattice="-1.408 2.000 4.232 1.408 -2.000 4.232 1.408 2.000 -4.232" Properties=species:S:1:pos:R:3 pbc="T T T"
Li 0.000 0.000 0.000
Ag 0.000 0.000 2.831
Ag 0.000 0.000 5.633
```

## Properties
E above lowest polymorph: 0.02 eV/f.u.



Ρ in g/cm3, matching the order above: 5.62, 14.39, 9.59, 9.47, 4.47, 7.76